[1]
DFT (GGA-PBE) results for a relaxed structure of DyHSe.

## Properties
E_tot   -5.270 eV per atom

```
data_DyHSe
_cell_length_a 3.8305
_cell_length_b 3.8305
_cell_length_c 3.8997
_cell_angle_alpha 90.00
_cell_angle_beta 90.00
_cell_angle_gamma 120.00
_symmetry_space_group_name_H-M 'P -6 m 2'
_symmetry_Int_Tables_number 187
_symmetry_space_group_name_Hall 'P -6 2'
loop_
_atom_site_label
_atom_site_type_symbol
_atom_site_fract_x
_atom_site_fract_y
_atom_site_fract_z
_atom_site_occupancy
Dy1 Dy 0.0000 0.0000 0.0000 1
H1 H 0.6667 0.3333 0.0000 1
Se1 Se 0.3333 0.6667 0.5000 1
```

[2]
DFT (GGA-PBE) results for a relaxed structure of ErNb.

## Properties
Formation enthalpy at 0 K   0.504 eV per atom
ΔE to the lowest computed polymorph   0.090 eV per atom

```
data_ErNb
_cell_length_a 3.568
_cell_length_b 3.568
_cell_length_c 3.568
_cell_angle_alpha 90.00
_cell_angle_beta 90.00
_cell_angle_gamma 90.00
_symmetry_space_group_name_H-M 'P m -3 m'
_symmetry_Int_Tables_number 221
_symmetry_space_group_name_Hall '-P 4 2 3'
loop_
_atom_site_label
_atom_site_type_symbol
_atom_site_fract_x
_atom_site_fract_y
_atom_site_fract_z
_atom_site_occupancy
Er1 Er 0.000 0.000 0.000 1
Nb1 Nb 0.500 0.500 0.500 1
```

Record order is preserved below.
Magnetic moment: 0.00, 0.08 μB/cell